Computed, not measured: KIn3As after structural relaxation at the GGA-PBE level of DFT.

Cell and atoms, written as POSCAR:
```
KIn3As
1.0
5.925 0.000 0.000
0.000 5.925 0.000
0.000 0.000 5.925
As K In
1 1 3
Cartesian
2.963 2.963 2.963
0.000 0.000 0.000
0.000 2.963 0.000
0.000 0.000 2.963
2.963 0.000 0.000
```

* total DFT energy (no corrections): -1.75 eV per atom
* relative energy among the computed polymorphs: 873 meV/atom
* energy of formation: 1.042 eV/atom

=====

Computed, not measured: KIn2As after structural relaxation at the GGA-PBE level of DFT.

Cell and atoms, written as POSCAR:
```
KIn2As
1.0
-3.039 3.868 4.743
-2.633 -0.602 -6.277
-2.673 -1.479 0.501
As In K
1 2 1
Cartesian
-2.653 -1.041 -2.888
0.000 0.000 0.000
-2.836 1.633 -0.767
-2.856 1.195 2.622
```

* total DFT energy (no corrections): -2.76 eV per atom
* energy of formation: 0.045 eV/atom

=====

Computed, not measured: K5InAs2 after structural relaxation at the GGA-PBE level of DFT.

Cell and atoms, written as POSCAR:
```
K5InAs2
1.0
5.582 0.000 1.767
2.512 4.985 1.767
-0.255 -0.157 10.510
K In As
5 1 2
Cartesian
3.919 2.414 7.022
2.842 1.750 10.426
4.997 3.078 3.617
1.723 1.061 4.260
6.116 3.767 9.783
0.000 0.000 0.000
0.571 0.352 7.898
7.267 4.476 6.145
```

* total DFT energy (no corrections): -2.42 eV per atom
* energy of formation: -0.233 eV/atom

=====

Computed, not measured: K2InAs after structural relaxation at the GGA-PBE level of DFT.

Cell and atoms, written as POSCAR:
```
K2InAs
1.0
3.359 0.000 0.000
0.000 3.359 0.000
0.000 0.000 11.094
As In K
1 1 2
Cartesian
1.680 1.680 2.773
1.680 1.680 8.320
0.000 0.000 0.430
0.000 0.000 5.117
```

* total DFT energy (no corrections): -2.44 eV per atom
* relative energy among the computed polymorphs: 286 meV/atom
* energy of formation: -0.049 eV/atom